Computed, not measured: a relaxed Ac2VMoO6 crystal at the PBE+U level of DFT.

As for the energy: -158.75 eV/cell.

The structure belongs to space group P2_1/c (No. 14); the cell edges are 5.789, 5.898 and 10.015 Å and the angles 90.00°, 125.29° and 90.00°. The distinct sites, in fractional coordinates, are Ac at (0.241, 0.041, 0.251), V at (0.000, 0.000, 0.500), Mo at (0.500, 0.000, 0.000), O at (0.160, 0.215, 0.955), O at (0.244, 0.705, 0.959) and O at (0.323, 0.021, 0.743).